# 1
## CsRbPt2 (PBE)

Data for a relaxed structure of CsRbPt2.

```
data_CsRbPt2
_chemical_formula_sum 'Cs4 Rb4 Pt8'
_symmetry_space_group_name_H-M 'F m -3 m'
_symmetry_Int_Tables_number 225
_symmetry_space_group_name_Hall '-F 4 2 3'
_cell_length_a 7.9191
_cell_length_b 7.9191
_cell_length_c 7.9191
_cell_angle_alpha 90.00
_cell_angle_beta 90.00
_cell_angle_gamma 90.00
loop_
_atom_site_label
_atom_site_fract_x
_atom_site_fract_y
_atom_site_fract_z
Cs1 0.0000 0.0000 0.0000
Rb1 0.0000 0.0000 0.5000
Pt1 0.2500 0.2500 0.2500
```

## Properties
Density of states at the Fermi level in states/eV/f.u.: 3.15
DFT formation energy in meV per atom: 732.0
Uncorrected energy in eV/atom: -2.74
Offset from the most stable computed form in eV/atom: 0.827

# 2
## Cs2RbPt (PBE)

Data for a relaxed structure of Cs2RbPt.

```
data_Cs2RbPt
_chemical_formula_sum 'Cs8 Rb4 Pt4'
_symmetry_space_group_name_H-M 'F m -3 m'
_symmetry_Int_Tables_number 225
_symmetry_space_group_name_Hall '-F 4 2 3'
_cell_length_a 8.7985
_cell_length_b 8.7985
_cell_length_c 8.7985
_cell_angle_alpha 90.00
_cell_angle_beta 90.00
_cell_angle_gamma 90.00
loop_
_atom_site_label
_atom_site_fract_x
_atom_site_fract_y
_atom_site_fract_z
Cs1 0.2500 0.2500 0.2500
Rb1 0.0000 0.0000 0.0000
Pt1 0.0000 0.0000 0.5000
```

## Properties
Density of states at the Fermi level in states/eV/f.u.: 4.70
DFT formation energy in meV per atom: 209.7
Uncorrected energy in eV/atom: -1.97
Offset from the most stable computed form in eV/atom: 0.172

# 3
## Cs5Rb2Pt2 (PBE)

Data for a relaxed structure of Cs5Rb2Pt2.

```
data_Cs5Rb2Pt2
_chemical_formula_sum 'Cs10 Rb4 Pt4'
_symmetry_space_group_name_H-M 'A m m 2'
_symmetry_Int_Tables_number 38
_cell_length_a 9.4946
_cell_length_b 13.1145
_cell_length_c 10.1340
_cell_angle_alpha 90.00
_cell_angle_beta 90.00
_cell_angle_gamma 90.00
loop_
_symmetry_equiv_pos_as_xyz
'x,y,z'
'-x,-y,z'
'-x,y,z'
'x,-y,z'
'x,y+1/2,z+1/2'
'-x,-y+1/2,z+1/2'
'-x,y+1/2,z+1/2'
'x,-y+1/2,z+1/2'
loop_
_atom_site_label
_atom_site_fract_x
_atom_site_fract_y
_atom_site_fract_z
Cs1 0.0000 0.0000 0.0000
Cs2 0.2824 0.1879 0.2622
Rb1 0.0000 0.0000 0.5677
Rb2 0.5000 0.0000 0.7755
Pt1 0.3611 0.0000 0.0682
```

## Properties
Density of states at the Fermi level in states/eV/f.u.: 5.51
DFT formation energy in meV per atom: 124.0
Uncorrected energy in eV/atom: -1.91

# 4
## Cs2RbScPt (PBE)

Data for a relaxed structure of Cs2RbScPt.

```
data_Cs2RbScPt
_chemical_formula_sum 'Cs2 Rb1 Sc1 Pt1'
_symmetry_space_group_name_H-M 'P 4/m m m'
_symmetry_Int_Tables_number 123
_symmetry_space_group_name_Hall '-P 4 2'
_cell_length_a 6.6868
_cell_length_b 6.6868
_cell_length_c 6.5422
_cell_angle_alpha 90.00
_cell_angle_beta 90.00
_cell_angle_gamma 90.00
loop_
_atom_site_label
_atom_site_fract_x
_atom_site_fract_y
_atom_site_fract_z
Cs1 0.0000 0.5000 0.0000
Rb1 0.0000 0.0000 0.5000
Sc1 0.5000 0.5000 0.5000
Pt1 0.0000 0.0000 0.0000
```

## Properties
Density of states at the Fermi level in states/eV/f.u.: 3.78
DFT formation energy in meV per atom: 605.3
Uncorrected energy in eV/atom: -2.40

# 5
## CsRbPt2Se (PBE)

Data for a relaxed structure of CsRbPt2Se.

```
data_CsRbPt2Se
_chemical_formula_sum 'Cs1 Rb1 Pt2 Se1'
_symmetry_space_group_name_H-M 'P 4/m m m'
_symmetry_Int_Tables_number 123
_symmetry_space_group_name_Hall '-P 4 2'
_cell_length_a 5.3753
_cell_length_b 5.3753
_cell_length_c 6.5773
_cell_angle_alpha 90.00
_cell_angle_beta 90.00
_cell_angle_gamma 90.00
loop_
_atom_site_label
_atom_site_fract_x
_atom_site_fract_y
_atom_site_fract_z
Cs1 0.0000 0.0000 0.0000
Rb1 0.5000 0.5000 0.5000
Pt1 0.0000 0.5000 0.0000
Se1 0.0000 0.0000 0.5000
```

## Properties
Density of states at the Fermi level in states/eV/f.u.: 6.19
Uncorrected energy in eV/atom: -2.46
Uncorrected formation energy in eV per atom: 1.013

# 6
## Cs2RbSnPt (PBE)

Data for a relaxed structure of Cs2RbSnPt.

```
data_Cs2RbSnPt
_chemical_formula_sum 'Cs2 Rb1 Sn1 Pt1'
_symmetry_space_group_name_H-M 'P 4/m m m'
_symmetry_Int_Tables_number 123
_symmetry_space_group_name_Hall '-P 4 2'
_cell_length_a 6.9594
_cell_length_b 6.9594
_cell_length_c 5.1896
_cell_angle_alpha 90.00
_cell_angle_beta 90.00
_cell_angle_gamma 90.00
loop_
_atom_site_label
_atom_site_fract_x
_atom_site_fract_y
_atom_site_fract_z
Cs1 0.0000 0.5000 0.0000
Rb1 0.0000 0.0000 0.5000
Sn1 0.5000 0.5000 0.5000
Pt1 0.5000 0.5000 0.0000
```

## Properties
Density of states at the Fermi level in states/eV/f.u.: 3.81
DFT formation energy in meV per atom: -95.3
Uncorrected energy in eV/atom: -2.64

# 7
## CsRbSn2Pt (PBE)

Data for a relaxed structure of CsRbSn2Pt.

```
data_CsRbSn2Pt
_chemical_formula_sum 'Cs1 Rb1 Sn2 Pt1'
_symmetry_space_group_name_H-M 'P 4/m m m'
_symmetry_Int_Tables_number 123
_symmetry_space_group_name_Hall '-P 4 2'
_cell_length_a 5.3524
_cell_length_b 5.3524
_cell_length_c 6.5271
_cell_angle_alpha 90.00
_cell_angle_beta 90.00
_cell_angle_gamma 90.00
loop_
_atom_site_label
_atom_site_fract_x
_atom_site_fract_y
_atom_site_fract_z
Cs1 0.0000 0.0000 0.0000
Rb1 0.5000 0.5000 0.0000
Sn1 0.0000 0.5000 0.5000
Pt1 0.0000 0.0000 0.5000
```

## Properties
Density of states at the Fermi level in states/eV/f.u.: 4.24
DFT formation energy in meV per atom: -69.2
Uncorrected energy in eV/atom: -3.24

# 8
## CsRbSr2Pt (PBE)

Data for a relaxed structure of CsRbSr2Pt.

```
data_CsRbSr2Pt
_chemical_formula_sum 'Cs1 Rb1 Sr2 Pt1'
_symmetry_space_group_name_H-M 'P 4/m m m'
_symmetry_Int_Tables_number 123
_symmetry_space_group_name_Hall '-P 4 2'
_cell_length_a 7.4378
_cell_length_b 7.4378
_cell_length_c 5.6538
_cell_angle_alpha 90.00
_cell_angle_beta 90.00
_cell_angle_gamma 90.00
loop_
_atom_site_label
_atom_site_fract_x
_atom_site_fract_y
_atom_site_fract_z
Cs1 0.0000 0.0000 0.0000
Rb1 0.5000 0.5000 0.5000
Sr1 0.0000 0.5000 0.0000
Pt1 0.0000 0.0000 0.5000
```

## Properties
Density of states at the Fermi level in states/eV/f.u.: 3.36
DFT formation energy in meV per atom: 730.6
Uncorrected energy in eV/atom: -1.51
Offset from the most stable computed form in eV/atom: 0.930

Question: Number 3 is which compound?
Answer: Cs5Rb2Pt2